# 1
TlCd6Sn2, relaxed, DFT PBE; formation energy from the elements = 0.0890 eV per atom; N(E_F) = 4.02 states/eV/cell; symmetry = No. 71; total DFT energy (no corrections) = -15.1 eV/f.u.
1.0
-2.235 3.748 7.360
2.235 -3.748 7.360
2.235 3.748 -7.360
Tl Cd Sn
1 6 2
Direct
0.000 0.000 0.000 Tl
0.012 0.313 0.699 Cd
0.301 0.500 0.801 Cd
0.386 0.687 0.699 Cd
0.614 0.313 0.301 Cd
0.699 0.500 0.199 Cd
0.988 0.687 0.301 Cd
0.376 0.876 0.500 Sn
0.624 0.124 0.500 Sn

=====

# 2
TiInTe2N, relaxed, DFT PBE; N(E_F) = 6.50 states/eV/cell; ΔE to the lowest computed polymorph = 1.0345 eV per atom; symmetry = No. 123; total DFT energy (no corrections) = -20.8 eV/f.u.
1.0
5.776 0.000 0.000
0.000 5.776 0.000
0.000 0.000 4.029
Ti In Te N
1 1 2 1
Direct
0.000 0.000 0.000 Ti
0.500 0.500 0.500 In
0.000 0.500 0.500 Te
0.500 0.000 0.500 Te
0.500 0.500 0.000 N

=====

# 3
Li2SbRh2, relaxed, DFT PBE; N(E_F) = 4.80 states/eV/cell; ΔE to the lowest computed polymorph = 0.0000 eV per atom; symmetry = No. 127; total DFT energy (no corrections) = -24.2 eV/f.u.
1.0
6.495 0.000 0.000
0.000 6.495 0.000
0.000 0.000 4.116
Li Sb Rh
4 2 4
Direct
0.159 0.341 0.000 Li
0.341 0.841 0.000 Li
0.659 0.159 0.000 Li
0.841 0.659 0.000 Li
0.000 0.000 0.500 Sb
0.500 0.500 0.500 Sb
0.140 0.640 0.500 Rh
0.360 0.140 0.500 Rh
0.640 0.860 0.500 Rh
0.860 0.360 0.500 Rh